# 1
Ti3ZnRe | PBE-GGA | optimized geometry

a = 4.5246 Å, b = 4.5246 Å, c = 4.5246 Å
α = 90.00°, β = 90.00°, γ = 90.00°
Last column: nearest neighbours and their distance in Å.
Atoms (fractional coordinates):
Ti  0.0000  0.0000  0.5000  2 Zn 2.26
Ti  0.0000  0.5000  0.0000  2 Zn 2.26
Ti  0.5000  0.0000  0.0000  2 Zn 2.26
Zn  0.0000  0.0000  0.0000  6 Ti 2.26
Re  0.5000  0.5000  0.5000  12 Ti 3.20

Output
ΔE_f = 1123 meV per atom
Space group = Pm-3m, No. 221
VASP energy = -31.8 eV/cell

***

# 2
YTcRu | PBE-GGA | optimized geometry

a = 5.3902 Å, b = 5.3902 Å, c = 5.3902 Å
α = 123.55°, β = 116.72°, γ = 89.87°
Last column: nearest neighbours and their distance in Å.
Atoms (fractional coordinates):
Y  0.3718  0.1218  0.2500  6 Ru 3.06-3.21, 6 Tc 3.11-3.25, 4 Y 3.21-3.38
Y  0.6282  0.8782  0.7500  6 Ru 3.06-3.21, 6 Tc 3.11-3.25, 4 Y 3.21-3.38
Tc  0.0000  0.0000  0.5000  2 Tc 2.55, 4 Ru 2.70
Tc  0.0000  0.5000  0.0000  2 Tc 2.55, 4 Ru 2.70
Ru  0.0000  0.5000  0.5000  4 Tc 2.70, 2 Ru 2.83
Ru  0.5000  0.5000  0.0000  4 Tc 2.70, 2 Ru 2.83

Output
ΔE_f = -239 meV per atom
Space group = Imma, No. 74
VASP energy = -53.6 eV/cell